(1)
{"formula": "HoGa5Pt7", "functional": "PBE", "state": "relaxed", "spacegroup": "Imm2", "delta_e_f_ev_per_atom": -0.644, "volume_a3_per_cell": 213, "lattice_angstrom": [[-2.691, 4.525, 4.375], [2.691, -4.525, 4.375], [2.691, 4.525, -4.375]], "species": ["Ho", "Ga", "Ga", "Ga", "Ga", "Ga", "Pt", "Pt", "Pt", "Pt", "Pt", "Pt", "Pt"], "frac_coords": [[0.000, 0.000, 0.000], [0.478, 0.491, 0.496], [0.478, 0.982, 0.987], [0.766, 0.266, 0.500], [0.995, 0.491, 0.013], [0.995, 0.982, 0.504], [0.178, 0.474, 0.704], [0.219, 0.719, 0.500], [0.338, 0.338, 0.000], [0.342, 0.005, 0.337], [0.668, 0.005, 0.663], [0.671, 0.671, 0.000], [0.770, 0.474, 0.296]]}

***

(2)
{"formula": "Cs5PaTe6", "functional": "PBE", "state": "relaxed", "spacegroup": "C2/m", "volume_a3_per_cell": 635, "formation_energy_uncorrected_mev_per_atom": -920, "lattice_angstrom": [[4.678, -7.977, 0.000], [4.678, 7.977, 0.000], [-3.207, 0.000, 8.514]], "species": ["Cs", "Cs", "Cs", "Cs", "Cs", "Pa", "Te", "Te", "Te", "Te", "Te", "Te"], "frac_coords": [[0.000, 0.000, 0.000], [0.164, 0.836, 0.500], [0.321, 0.679, 0.000], [0.679, 0.321, 0.000], [0.836, 0.164, 0.500], [0.500, 0.500, 0.500], [0.165, 0.433, 0.295], [0.312, 0.312, 0.707], [0.433, 0.165, 0.295], [0.567, 0.835, 0.705], [0.688, 0.688, 0.293], [0.835, 0.567, 0.705]]}

***

(3)
{"formula": "CoCu3Pt", "functional": "PBE", "state": "relaxed", "spacegroup": "Pm-3m", "delta_e_f_ev_per_atom": 1.043, "volume_a3_per_cell": 79, "lattice_angstrom": [[4.295, 0.000, 0.000], [0.000, 4.295, 0.000], [0.000, 0.000, 4.295]], "species": ["Co", "Cu", "Cu", "Cu", "Pt"], "frac_coords": [[0.000, 0.000, 0.000], [0.000, 0.000, 0.500], [0.000, 0.500, 0.000], [0.500, 0.000, 0.000], [0.500, 0.500, 0.500]]}

***

(4)
{"formula": "NaCd6Au3", "functional": "PBE", "state": "relaxed", "spacegroup": "P2_1/m", "delta_e_f_ev_per_atom": -0.152, "relative_energy_mev_per_atom": 0, "volume_a3_per_cell": 453, "lattice_angstrom": [[9.208, 0.000, 0.000], [0.000, 4.366, 0.000], [-2.839, 0.000, 11.271]], "species": ["Na", "Na", "Cd", "Cd", "Cd", "Cd", "Cd", "Cd", "Cd", "Cd", "Cd", "Cd", "Cd", "Cd", "Au", "Au", "Au", "Au", "Au", "Au"], "frac_coords": [[0.013, 0.250, 0.269], [0.987, 0.750, 0.731], [0.086, 0.250, 0.950], [0.210, 0.750, 0.427], [0.236, 0.750, 0.174], [0.303, 0.750, 0.702], [0.428, 0.250, 0.080], [0.435, 0.250, 0.577], [0.565, 0.750, 0.423], [0.572, 0.750, 0.920], [0.697, 0.250, 0.298], [0.764, 0.250, 0.826], [0.790, 0.250, 0.573], [0.914, 0.750, 0.050], [0.106, 0.250, 0.558], [0.274, 0.750, 0.936], [0.372, 0.250, 0.319], [0.628, 0.750, 0.681], [0.726, 0.250, 0.064], [0.894, 0.750, 0.442]]}

***

(5)
{"formula": "HfTa2Al2", "functional": "PBE", "state": "relaxed", "spacegroup": "I4/mmm", "delta_e_f_ev_per_atom": 0.297, "relative_energy_mev_per_atom": 545, "volume_a3_per_cell": 194, "lattice_angstrom": [[3.736, 0.000, 0.000], [0.000, 3.736, 0.000], [0.000, 0.000, 13.933]], "species": ["Hf", "Hf", "Ta", "Ta", "Ta", "Ta", "Al", "Al", "Al", "Al"], "frac_coords": [[0.000, 0.000, 0.000], [0.500, 0.500, 0.500], [0.000, 0.000, 0.403], [0.000, 0.000, 0.597], [0.500, 0.500, 0.097], [0.500, 0.500, 0.903], [0.000, 0.500, 0.250], [0.000, 0.500, 0.750], [0.500, 0.000, 0.250], [0.500, 0.000, 0.750]]}

***

(6)
{"formula": "U2Si4PdPt3", "functional": "PBE", "state": "relaxed", "spacegroup": "P-4m2", "volume_a3_per_cell": 174, "formation_energy_uncorrected_mev_per_atom": -753, "lattice_angstrom": [[4.190, 0.000, 0.000], [0.000, 4.190, 0.000], [0.000, 0.000, 9.898]], "species": ["U", "U", "Si", "Si", "Si", "Si", "Pd", "Pt", "Pt", "Pt"], "frac_coords": [[0.000, 0.500, 0.247], [0.500, 0.000, 0.753], [0.000, 0.000, 0.000], [0.000, 0.500, 0.635], [0.500, 0.000, 0.365], [0.500, 0.500, 0.000], [0.000, 0.000, 0.500], [0.000, 0.500, 0.877], [0.500, 0.000, 0.123], [0.500, 0.500, 0.500]]}